First-principles (GGA-PBE) data for an optimized crystal structure of TaGe2Pt, as listed in Alexandria.

Geometry as extended XYZ:
```
4
Lattice="0.000 3.190 3.190 3.190 0.000 3.190 3.190 3.190 0.000" Properties=species:S:1:pos:R:3 pbc="T T T"
Ge 1.595 1.595 1.595
Ge 4.785 4.785 4.785
Pt 3.190 3.190 3.190
Ta 0.000 0.000 0.000
```

Properties
space-group type = Fm-3m, No. 225
formation energy = -0.01 eV/atom


First-principles (GGA-PBE) data for an optimized crystal structure of TaGePt3, as listed in Alexandria.

Geometry as extended XYZ:
```
5
Lattice="4.587 0.000 0.000 0.000 4.587 0.000 0.000 0.000 4.587" Properties=species:S:1:pos:R:3 pbc="T T T"
Ge 0.000 0.000 0.000
Pt 0.000 2.293 0.000
Pt 0.000 0.000 2.293
Pt 2.293 0.000 0.000
Ta 2.293 2.293 2.293
```

Properties
space-group type = Pm-3m, No. 221
formation energy = 0.69 eV/atom


First-principles (GGA-PBE) data for an optimized crystal structure of Tb2TaGe4Pt3, as listed in Alexandria.

Geometry as extended XYZ:
```
10
Lattice="4.191 0.000 0.000 0.000 4.191 0.000 0.000 0.000 10.946" Properties=species:S:1:pos:R:3 pbc="T T T"
Tb 2.095 0.000 2.668
Tb 0.000 2.095 8.278
Ta 2.095 2.095 5.473
Ge 2.095 2.095 0.000
Ge 0.000 0.000 0.000
Ge 2.095 0.000 7.043
Ge 0.000 2.095 3.903
Pt 0.000 0.000 5.473
Pt 2.095 0.000 9.500
Pt 0.000 2.095 1.445
```

Properties
space-group type = P-4m2, No. 115
formation energy = -0.78 eV/atom


First-principles (GGA-PBE) data for an optimized crystal structure of Th2TaGe3Pt4, as listed in Alexandria.

Geometry as extended XYZ:
```
10
Lattice="4.318 0.000 0.000 0.000 4.318 0.000 0.000 0.000 10.605" Properties=species:S:1:pos:R:3 pbc="T T T"
Th 2.159 0.000 2.494
Th 0.000 2.159 8.111
Ta 2.159 2.159 5.302
Ge 0.000 0.000 5.302
Ge 2.159 0.000 9.207
Ge 0.000 2.159 1.398
Pt 2.159 2.159 0.000
Pt 0.000 0.000 0.000
Pt 2.159 0.000 6.730
Pt 0.000 2.159 3.874
```

Properties
space-group type = P-4m2, No. 115
formation energy = -0.87 eV/atom


First-principles (GGA-PBE) data for an optimized crystal structure of YTa2GePt, as listed in Alexandria.

Geometry as extended XYZ:
```
5
Lattice="-2.520 -3.198 -2.484 2.928 0.922 -4.158 3.016 -3.435 1.362" Properties=species:S:1:pos:R:3 pbc="T T T"
Y 1.464 0.461 -2.079
Ge 0.000 0.000 0.000
Pt 1.712 -2.856 -2.640
Ta 1.508 -1.717 0.681
Ta -1.260 -1.599 -1.242
```

Properties
space-group type = P4/mmm, No. 123
formation energy = 0.73 eV/atom


First-principles (GGA-PBE) data for an optimized crystal structure of TbGe4Pt2, as listed in Alexandria.

Geometry as extended XYZ:
```
28
Lattice="4.288 0.000 0.000 0.000 7.045 0.000 0.000 0.000 17.238" Properties=species:S:1:pos:R:3 pbc="T T T"
Ge 1.072 1.763 11.998
Ge 3.216 5.282 5.240
Ge 3.216 5.285 13.858
Ge 1.072 1.760 3.379
Ge 1.072 4.692 11.679
Ge 3.216 2.353 5.558
Ge 3.216 1.170 14.177
Ge 1.072 5.875 3.061
Ge 1.072 0.969 9.292
Ge 3.216 6.075 7.946
Ge 3.216 4.492 16.565
Ge 1.072 2.553 0.673
Ge 1.072 3.334 7.506
Ge 3.216 3.711 9.732
Ge 3.216 6.856 1.113
Ge 1.072 0.189 16.125
Tb 3.216 6.935 11.051
Tb 1.072 0.109 6.186
Tb 1.072 3.413 14.805
Tb 3.216 3.632 2.432
Pt 1.072 5.395 9.152
Pt 3.216 1.650 8.086
Pt 3.216 1.873 16.704
Pt 1.072 5.172 0.533
Pt 1.072 6.656 13.540
Pt 3.216 0.388 3.698
Pt 3.216 3.134 12.317
Pt 1.072 3.910 4.921
```

Properties
space-group type = Pnma, No. 62
formation energy = -0.61 eV/atom


First-principles (GGA-PBE) data for an optimized crystal structure of Tb2Ge5Pt3, as listed in Alexandria.

Geometry as extended XYZ:
```
20
Lattice="-3.701 -2.086 -4.642 3.249 -6.779 -3.810 -4.911 -6.371 2.513" Properties=species:S:1:pos:R:3 pbc="T T T"
Tb 0.734 -5.200 -2.514
Tb -4.788 -6.059 -1.990
Tb -6.097 -10.037 -3.424
Tb -0.576 -9.177 -3.948
Ge -5.278 -8.632 -0.444
Ge -1.511 -9.955 -7.117
Ge -0.086 -6.605 -5.494
Ge -3.852 -5.281 1.179
Ge -3.050 -11.161 -3.216
Ge -2.313 -4.075 -2.722
Ge -3.607 -8.140 -4.129
Ge -1.756 -7.097 -1.808
Ge -0.463 -3.032 -0.401
Ge -4.901 -12.204 -5.537
Pt -3.320 -9.122 -1.785
Pt -3.323 -10.257 -5.537
Pt -2.044 -6.115 -4.153
Pt -2.040 -4.979 -0.401
Pt -0.925 -0.521 -1.160
Pt -2.776 -1.564 -3.481
```

Properties
space-group type = Ibam, No. 72
formation energy = -0.78 eV/atom


First-principles (GGA-PBE) data for an optimized crystal structure of TbGe2Pt7, as listed in Alexandria.

Geometry as extended XYZ:
```
10
Lattice="-3.277 1.554 -2.576 4.131 -0.958 -5.833 -4.279 -5.373 2.201" Properties=species:S:1:pos:R:3 pbc="T T T"
Tb 0.000 0.000 0.000
Ge -0.052 -1.517 -4.690
Ge -3.372 -3.260 -1.518
Pt 2.245 -1.948 -4.032
Pt -2.393 -4.383 0.399
Pt -2.627 -0.913 -1.050
Pt -0.797 -3.863 -5.158
Pt -0.705 0.096 -2.886
Pt -2.719 -4.872 -3.322
Pt -1.712 -2.388 -3.104
```

Properties
space-group type = Cmmm, No. 65
formation energy = -0.35 eV/atom


First-principles (GGA-PBE) data for an optimized crystal structure of TbGePt3, as listed in Alexandria.

Geometry as extended XYZ:
```
10
Lattice="5.091 0.000 0.000 0.000 5.636 0.000 0.000 0.000 7.051" Properties=species:S:1:pos:R:3 pbc="T T T"
Tb 2.545 0.000 0.000
Tb 2.545 2.818 3.525
Ge 0.000 2.818 0.000
Ge 0.000 0.000 3.525
Pt 2.545 2.818 0.000
Pt 2.545 0.000 3.525
Pt 0.000 3.517 2.310
Pt 0.000 0.699 1.215
Pt 0.000 2.119 4.741
Pt 0.000 4.937 5.835
```

Properties
space-group type = Pbam, No. 55
formation energy = -0.62 eV/atom


First-principles (GGA-PBE) data for an optimized crystal structure of Tb3Ge2Pt7, as listed in Alexandria.

Geometry as extended XYZ:
```
12
Lattice="4.030 0.000 0.000 0.000 4.086 -0.607 0.000 0.096 14.711" Properties=species:S:1:pos:R:3 pbc="T T T"
Tb 2.015 2.043 -0.303
Tb 2.015 2.914 5.559
Tb 2.015 1.269 8.545
Ge 0.000 3.826 11.702
Ge 0.000 0.357 2.402
Pt 0.000 1.574 10.596
Pt 0.000 3.274 7.986
Pt 0.000 0.000 0.000
Pt 0.000 2.609 3.507
Pt 2.015 0.571 3.842
Pt 2.015 3.612 10.262
Pt 0.000 0.908 6.117
```

Properties
space-group type = Cmmm, No. 65
formation energy = -0.88 eV/atom


First-principles (GGA-PBE) data for an optimized crystal structure of Tb2GePt3, as listed in Alexandria.

Geometry as extended XYZ:
```
6
Lattice="3.616 0.000 0.000 0.000 4.413 0.000 0.000 0.000 7.751" Properties=species:S:1:pos:R:3 pbc="T T T"
Tb 0.000 2.206 7.625
Tb 0.000 0.000 4.028
Ge 1.808 2.206 2.507
Pt 1.808 0.000 6.530
Pt 1.808 0.000 1.466
Pt 1.808 2.206 4.972
```

Properties
space-group type = Pmm2, No. 25
formation energy = -1.07 eV/atom


First-principles (GGA-PBE) data for an optimized crystal structure of TbGePt3, as listed in Alexandria.

Geometry as extended XYZ:
```
10
Lattice="-3.897 4.175 -4.546 -0.429 -3.542 -2.885 -4.811 -1.588 2.665" Properties=species:S:1:pos:R:3 pbc="T T T"
Tb -3.093 0.687 -1.494
Tb -7.468 1.809 -2.574
Ge -5.044 1.332 -4.631
Ge -5.641 -2.705 -1.966
Pt -5.932 -0.294 -1.056
Pt -3.156 -0.047 -5.222
Pt -3.518 -2.139 -0.974
Pt -1.459 -0.605 0.685
Pt -1.193 -1.372 -2.262
Pt -5.642 -0.867 -3.845
```

Properties
space-group type = Pmn2_1, No. 31
formation energy = -0.85 eV/atom


First-principles (GGA-PBE) data for an optimized crystal structure of Tb2Ge5Pt3, as listed in Alexandria.

Geometry as extended XYZ:
```
20
Lattice="4.284 0.000 -0.730 0.000 7.038 0.000 -0.083 0.000 12.449" Properties=species:S:1:pos:R:3 pbc="T T T"
Tb 1.972 5.254 11.579
Tb 0.717 5.227 4.207
Tb 3.484 1.708 7.511
Tb 2.228 1.735 0.140
Ge 1.640 2.754 9.628
Ge 1.189 3.597 6.978
Ge 3.012 0.078 4.741
Ge 0.490 1.897 2.874
Ge 1.219 6.523 7.155
Ge 4.003 0.599 10.561
Ge 2.981 3.004 4.564
Ge 3.711 5.416 8.845
Ge 0.197 4.118 1.158
Ge 2.560 6.273 2.090
Pt 3.283 4.971 6.336
Pt 2.575 3.667 2.177
Pt 0.226 6.792 1.327
Pt 0.917 1.451 5.383
Pt 3.974 3.272 10.392
Pt 1.625 0.148 9.541
```

Properties
space-group type = Cmc2_1, No. 36
formation energy = -0.79 eV/atom


First-principles (GGA-PBE) data for an optimized crystal structure of Tb3Ge3Pt2, as listed in Alexandria.

Geometry as extended XYZ:
```
16
Lattice="4.361 0.000 0.000 -2.181 5.262 0.000 0.000 0.000 14.507" Properties=species:S:1:pos:R:3 pbc="T T T"
Tb 2.181 4.292 5.666
Tb 0.000 0.970 12.920
Tb 2.181 4.292 1.587
Tb 0.000 0.970 8.841
Tb 2.181 1.394 3.627
Tb 0.000 3.868 10.880
Ge 2.181 1.233 6.763
Ge 0.000 4.029 14.016
Ge 2.181 1.233 0.491
Ge 0.000 4.029 7.744
Ge 0.000 3.585 3.627
Ge 2.181 1.677 10.880
Pt 2.181 3.234 12.982
Pt 0.000 2.028 5.728
Pt 2.181 3.234 8.779
Pt 0.000 2.028 1.525
```

Properties
space-group type = Cmcm, No. 63
formation energy = -1.08 eV/atom


First-principles (GGA-PBE) data for an optimized crystal structure of Tb7Ge2Pt2, as listed in Alexandria.

Geometry as extended XYZ:
```
11
Lattice="-0.815 5.130 4.323 -0.595 -4.513 5.241 6.634 -1.249 -0.320" Properties=species:S:1:pos:R:3 pbc="T T T"
Tb 2.344 3.310 5.551
Tb 5.788 -2.001 5.695
Tb 2.879 -3.942 3.693
Tb -0.565 1.370 3.549
Tb 0.000 0.000 0.000
Tb 2.464 -1.432 5.919
Tb 2.759 0.800 3.325
Ge 4.512 0.951 5.929
Ge 0.712 -1.583 3.315
Pt 1.315 3.306 2.996
Pt 4.504 0.575 1.007
```

Properties
space-group type = Cmmm, No. 65
formation energy = -0.59 eV/atom


First-principles (GGA-PBE) data for an optimized crystal structure of Tb5Ge5Pt2, as listed in Alexandria.

Geometry as extended XYZ:
```
12
Lattice="-3.868 0.248 1.819 -1.859 -7.385 2.091 1.602 1.783 8.201" Properties=species:S:1:pos:R:3 pbc="T T T"
Tb -0.129 -2.801 5.146
Tb -2.498 -3.310 10.254
Tb -2.654 -6.195 5.278
Tb -1.471 0.841 6.833
Tb -1.627 -2.045 1.857
Ge -2.664 -0.780 4.519
Ge -2.920 -0.527 8.978
Ge -1.205 -4.827 3.133
Ge -1.461 -4.575 7.592
Ge 0.000 0.000 0.000
Pt -1.168 -2.045 7.870
Pt -2.956 -3.310 4.241
```

Properties
space-group type = C2/m, No. 12
formation energy = -0.92 eV/atom


First-principles (GGA-PBE) data for an optimized crystal structure of Tb2Ge6Pt21, as listed in Alexandria.

Geometry as extended XYZ:
```
29
Lattice="7.668 0.000 4.427 2.556 7.229 4.427 0.000 0.000 8.854" Properties=species:S:1:pos:R:3 pbc="T T T"
Tb 7.668 5.422 13.281
Tb 2.556 1.807 4.427
Ge 3.923 5.296 6.794
Ge 6.301 1.933 6.794
Ge 7.490 5.296 8.854
Ge 6.301 1.933 10.914
Ge 3.923 5.296 10.914
Ge 2.734 1.933 8.854
Pt 0.000 0.000 0.000
Pt 6.325 4.472 6.754
Pt 6.325 4.472 10.955
Pt 5.112 1.042 8.854
Pt 2.687 4.472 8.854
Pt 3.899 2.757 10.955
Pt 3.899 2.757 6.754
Pt 5.112 6.187 8.854
Pt 7.537 2.757 8.854
Pt 5.005 0.000 5.964
Pt 1.668 4.719 5.964
Pt 0.000 0.000 3.075
Pt 1.668 4.719 2.890
Pt 5.005 0.000 2.890
Pt 0.000 0.000 5.780
Pt 0.888 2.510 1.537
Pt 0.888 2.510 7.317
Pt 5.893 2.510 4.427
Pt 2.663 0.000 7.317
Pt 2.663 0.000 1.537
Pt 4.331 4.719 4.427
```

Properties
space-group type = Fm-3m, No. 225
formation energy = -0.43 eV/atom


First-principles (GGA-PBE) data for an optimized crystal structure of TbGe6Pt12, as listed in Alexandria.

Geometry as extended XYZ:
```
19
Lattice="-6.716 2.247 -1.852 2.392 -4.102 -5.571 -0.857 -4.551 5.669" Properties=species:S:1:pos:R:3 pbc="T T T"
Tb 0.000 0.000 0.000
Ge -4.173 -0.750 -1.236
Ge -1.725 -3.591 1.907
Ge -0.367 -3.404 -2.791
Ge -3.457 -2.815 -3.660
Ge -1.008 -5.656 -0.517
Ge -4.815 -3.002 1.037
Pt -5.980 -0.840 0.507
Pt -4.817 -3.463 -1.531
Pt -3.433 -5.069 0.247
Pt -2.517 -1.443 0.656
Pt -1.749 -1.337 -2.000
Pt -0.364 -2.943 -0.223
Pt -0.410 -5.733 1.922
Pt -1.382 -3.036 -5.060
Pt 0.799 -5.566 -2.261
Pt -4.771 -0.673 -3.676
Pt -3.800 -3.370 3.306
Pt -2.665 -4.963 -2.410
```

Properties
space-group type = R-3m, No. 166
formation energy = -0.41 eV/atom


First-principles (GGA-PBE) data for an optimized crystal structure of TbGe2Pt5, as listed in Alexandria.

Geometry as extended XYZ:
```
8
Lattice="-1.431 1.876 3.105 2.683 -2.616 5.267 4.726 3.709 2.387" Properties=species:S:1:pos:R:3 pbc="T T T"
Tb 0.000 0.000 0.000
Ge 4.488 2.227 8.072
Ge 1.489 0.743 2.687
Pt 3.704 0.546 3.827
Pt 1.326 0.316 5.320
Pt 4.650 2.653 5.439
Pt 3.824 0.095 6.605
Pt 2.153 2.875 4.154
```

Properties
space-group type = Immm, No. 71
formation energy = -0.70 eV/atom


First-principles (GGA-PBE) data for an optimized crystal structure of Tb2Ge6Pt, as listed in Alexandria.

Geometry as extended XYZ:
```
9
Lattice="7.727 5.015 6.332 -9.446 -5.359 -2.645 1.896 -3.611 0.546" Properties=species:S:1:pos:R:3 pbc="T T T"
Tb -4.678 -4.858 -0.375
Tb 6.668 1.996 5.556
Ge 0.204 -1.909 2.177
Ge 2.168 -0.722 3.204
Ge -9.319 -5.283 -2.579
Ge -7.351 -4.094 -1.550
Ge -3.776 -1.934 0.319
Ge 3.591 2.516 4.170
Pt -1.875 -0.786 1.312
```

Properties
space-group type = Amm2, No. 38
formation energy = -0.55 eV/atom